Entry 1:
# CaZr4N5 | Alexandria | PBE | relaxed
data_CaZr4N5
_chemical_formula_sum 'Ca2 Zr8 N10'
_cell_length_a 3.285
_cell_length_b 4.648
_cell_length_c 16.533
_cell_angle_alpha 90.00
_cell_angle_beta 90.00
_cell_angle_gamma 90.00
_symmetry_space_group_name_H-M 'I m m m'
_symmetry_Int_Tables_number 71
_symmetry_space_group_name_Hall '-I 2 2'
loop_
_atom_site_label
_atom_site_fract_x
_atom_site_fract_y
_atom_site_fract_z
Ca1 0.000 0.000 0.000
Zr1 0.000 0.000 0.202
Zr2 0.000 0.000 0.401
N1 0.000 0.500 0.000
N2 0.000 0.500 0.199
N3 0.000 0.500 0.392
# * D(E_F): 4.6 states/eV per cell
# * uncorrected energy: -9.3828 eV per atom
# * formation energy (no corrections): -154 kJ per mole of atoms
# * ρ: 6.25 g/cm3



Entry 2:
# Ca2ZrN | Alexandria | PBE | relaxed
data_Ca2ZrN
_chemical_formula_sum 'Ca8 Zr4 N4'
_cell_length_a 9.638
_cell_length_b 9.638
_cell_length_c 4.297
_cell_angle_alpha 90.00
_cell_angle_beta 90.00
_cell_angle_gamma 90.00
_symmetry_space_group_name_H-M 'I -4 2 d'
_symmetry_Int_Tables_number 122
_symmetry_space_group_name_Hall 'I -4 2bw'
loop_
_atom_site_label
_atom_site_fract_x
_atom_site_fract_y
_atom_site_fract_z
Ca1 0.096 0.250 0.125
Zr1 0.000 0.000 0.500
N1 0.000 0.000 0.000
# * D(E_F): 19.2 states/eV per cell
# * uncorrected energy: -5.4678 eV per atom
# * formation energy (no corrections): -24 kJ per mole of atoms
# * ρ: 3.09 g/cm3



Question: Look up the D(E_F) of the second one.
Answer: 19.2 states/eV per cell